Below is SmCoS2O8 after structural relaxation, with properties calculated at the PBE+U level.

Output
- total moment (μB/f.u.) = 2.0
- calculated volume (Å³ per atom) = 13.362
- ρ (g/cm3) = 4.16
- uncorrected energy (eV for the cell shown) = -78.0

abc: 5.190 5.190 6.874
angles: 90.00 90.00 120.00
Atoms (fractional coordinates):
Sm1 0.000 0.000 0.000
Co1 0.000 0.000 0.500
S1 0.333 0.667 0.207
S2 0.667 0.333 0.793
O1 0.176 0.352 0.274
O2 0.176 0.824 0.274
O3 0.333 0.667 0.989
O4 0.352 0.176 0.726
O5 0.648 0.824 0.274
O6 0.667 0.333 0.011
O7 0.824 0.176 0.726
O8 0.824 0.648 0.726